(1)
The following is a GGA-PBE calculation of an optimized crystal structure of Tl6Hg3Pb2, from Alexandria via LeMat-Bulk.

Lattice parameters (Å, degrees): 3.6129 3.6129 29.3797 86.47 86.47 60.00
With the nearest neighbours (Å) after each atom.
Fractional positions:
1 Tl 0.0880 0.0880 0.7360  3 Hg 3.34, 3 Pb 3.50, 6 Tl 3.61
2 Tl 0.9120 0.9120 0.2640  3 Hg 3.34, 3 Pb 3.50, 6 Tl 3.61
3 Tl 0.1824 0.1824 0.4529  3 Pb 3.43, 9 Tl 3.46-3.61
4 Tl 0.8176 0.8176 0.5471  3 Pb 3.43, 9 Tl 3.46-3.61
5 Tl 0.3627 0.3627 0.9119  6 Hg 3.29-3.32, 6 Tl 3.61
6 Tl 0.6373 0.6373 0.0881  6 Hg 3.29-3.32, 6 Tl 3.61
7 Hg 0.0000 0.0000 0.0000  6 Tl 3.32, 6 Hg 3.61
8 Hg 0.2750 0.2750 0.1751  6 Tl 3.29-3.34, 6 Hg 3.61
9 Hg 0.7250 0.7250 0.8249  6 Tl 3.29-3.34, 6 Hg 3.61
10 Pb 0.4533 0.4533 0.6400  6 Tl 3.43-3.50, 6 Pb 3.61
11 Pb 0.5467 0.5467 0.3600  6 Tl 3.43-3.50, 6 Pb 3.61

Results
The crystal system is trigonal. The symmetry is R-3m, No. 166.

---

(2)
The following is a GGA-PBE calculation of an optimized crystal structure of Tl3Hg3Pb5, from Alexandria via LeMat-Bulk.

Lattice parameters (Å, degrees): 3.4795 10.7617 10.7617 120.00 90.00 90.00
With the nearest neighbours (Å) after each atom.
Fractional positions:
1 Tl 0.0000 0.5935 0.0000  2 Hg 3.12, 2 Pb 3.31, 2 Tl 3.48
2 Tl 0.0000 0.0000 0.5935  2 Hg 3.12, 2 Pb 3.31, 2 Tl 3.48
3 Tl 0.0000 0.4065 0.4065  2 Hg 3.12, 2 Pb 3.31, 2 Tl 3.48
4 Hg 0.5000 0.8340 0.0000  2 Pb 3.09, 2 Hg 3.09, 2 Tl 3.12
5 Hg 0.5000 0.1660 0.1660  2 Pb 3.09, 2 Hg 3.09, 2 Tl 3.12
6 Hg 0.5000 0.0000 0.8340  2 Pb 3.09, 2 Hg 3.09, 2 Tl 3.12
7 Pb 0.5000 0.6667 0.3333  5 Pb 3.48-3.60, 6 Tl 3.70
8 Pb 0.5000 0.3333 0.6667  5 Pb 3.48-3.60, 6 Tl 3.70
9 Pb 0.5000 0.3314 0.0000  2 Hg 3.09, 2 Tl 3.31
10 Pb 0.5000 0.6686 0.6686  2 Hg 3.09, 2 Tl 3.31
11 Pb 0.5000 0.0000 0.3314  2 Hg 3.09, 2 Tl 3.31

Results
The crystal system is hexagonal. The symmetry is P-62m, No. 189.

---

(3)
The following is a GGA-PBE calculation of an optimized crystal structure of Tl12Hg2Pb5, from Alexandria via LeMat-Bulk.

Lattice parameters (Å, degrees): 5.4010 11.8908 11.8908 53.64 76.52 76.52
With the nearest neighbours (Å) after each atom.
Fractional positions:
1 Tl 0.0951 0.9042 0.9042  2 Hg 3.27, 4 Pb 3.32-3.35, 2 Tl 3.46
2 Tl 0.1964 0.5456 0.0584  4 Pb 3.41-3.76, 6 Tl 3.44-3.49
3 Tl 0.1964 0.0584 0.5456  4 Pb 3.41-3.76, 6 Tl 3.44-3.49
4 Tl 0.5894 0.6404 0.1779  2 Hg 3.27-3.31, 3 Pb 3.39-3.55, 3 Tl 3.47-3.66
5 Tl 0.5894 0.1779 0.6404  2 Hg 3.27-3.31, 3 Pb 3.39-3.55, 3 Tl 3.47-3.66
6 Tl 0.0854 0.4113 0.4113  2 Hg 3.30, 7 Tl 3.44-3.67, 2 Pb 3.58-3.59
7 Tl 0.9146 0.5887 0.5887  2 Hg 3.30, 7 Tl 3.44-3.67, 2 Pb 3.58-3.59
8 Tl 0.4106 0.3596 0.8221  2 Hg 3.27-3.31, 3 Pb 3.39-3.55, 3 Tl 3.47-3.66
9 Tl 0.4106 0.8221 0.3596  2 Hg 3.27-3.31, 3 Pb 3.39-3.55, 3 Tl 3.47-3.66
10 Tl 0.8036 0.4544 0.9416  4 Pb 3.41-3.76, 6 Tl 3.44-3.49
11 Tl 0.8036 0.9416 0.4544  4 Pb 3.41-3.76, 6 Tl 3.44-3.49
12 Tl 0.9049 0.0958 0.0958  2 Hg 3.27, 4 Pb 3.32-3.35, 2 Tl 3.46
13 Hg 0.0000 0.2437 0.7563  8 Tl 3.27-3.31
14 Hg 0.0000 0.7563 0.2437  8 Tl 3.27-3.31
15 Pb 0.3097 0.1916 0.1916  6 Tl 3.32-3.55, 2 Pb 3.45
16 Pb 0.7026 0.2964 0.2964  10 Tl 3.39-3.76, 2 Pb 3.45
17 Pb 0.5000 0.0000 0.0000  8 Tl 3.32-3.43
18 Pb 0.2974 0.7036 0.7036  10 Tl 3.39-3.76, 2 Pb 3.45
19 Pb 0.6903 0.8084 0.8084  6 Tl 3.32-3.55, 2 Pb 3.45

Results
The crystal system is monoclinic. The symmetry is C2/m, No. 12. The calculation puts the relative energy among the computed polymorphs at 0 meV/atom.

---

(4)
The following is a GGA-PBE calculation of an optimized crystal structure of Tl5HgPb4, from Alexandria via LeMat-Bulk.

Lattice parameters (Å, degrees): 3.3841 3.3841 26.9119 90.00 90.00 90.00
With the nearest neighbours (Å) after each atom.
Fractional positions:
1 Tl 0.5000 0.5000 0.0954  4 Tl 3.38, 4 Hg 3.51, 4 Pb 3.59
2 Tl 0.5000 0.5000 0.2972  4 Tl 3.38, 8 Pb 3.62-3.65
3 Tl 0.5000 0.5000 0.5000  4 Tl 3.38, 8 Pb 3.64
4 Tl 0.5000 0.5000 0.7028  4 Tl 3.38, 8 Pb 3.62-3.65
5 Tl 0.5000 0.5000 0.9046  4 Tl 3.38, 4 Hg 3.51, 4 Pb 3.59
6 Hg 0.0000 0.0000 0.0000  4 Hg 3.38, 8 Tl 3.51
7 Pb 0.0000 0.0000 0.1948  4 Pb 3.38, 8 Tl 3.59-3.65
8 Pb 0.0000 0.0000 0.3982  4 Pb 3.38, 8 Tl 3.62-3.64
9 Pb 0.0000 0.0000 0.6018  4 Pb 3.38, 8 Tl 3.62-3.64
10 Pb 0.0000 0.0000 0.8052  4 Pb 3.38, 8 Tl 3.59-3.65

Results
The crystal system is tetragonal. The symmetry is P4/mmm, No. 123.

---

(5)
The following is a GGA-PBE calculation of an optimized crystal structure of TlHg4Pb2, from Alexandria via LeMat-Bulk.

Lattice parameters (Å, degrees): 3.3912 3.3912 20.7500 85.31 85.31 60.00
With the nearest neighbours (Å) after each atom.
Fractional positions:
1 Pb 0.7646 0.7646 0.7063  4 Hg 3.15-3.51, 6 Pb 3.39
2 Pb 0.2354 0.2354 0.2937  4 Hg 3.15-3.51, 6 Pb 3.39
3 Tl 0.0000 0.0000 0.0000  6 Tl 3.39, 6 Hg 3.52
4 Hg 0.2862 0.2862 0.1414  1 Pb 3.15, 6 Hg 3.39, 3 Tl 3.52
5 Hg 0.7138 0.7138 0.8586  1 Pb 3.15, 6 Hg 3.39, 3 Tl 3.52
6 Hg 0.8551 0.8551 0.4348  9 Hg 3.33-3.39, 3 Pb 3.51
7 Hg 0.1449 0.1449 0.5652  9 Hg 3.33-3.39, 3 Pb 3.51

Results
The crystal system is trigonal. The symmetry is R-3m, No. 166.

---

(6)
The following is a GGA-PBE calculation of an optimized crystal structure of Tl12Hg2Pb5, from Alexandria via LeMat-Bulk.

Lattice parameters (Å, degrees): 6.7886 8.7306 11.9267 68.22 90.00 112.88
With the nearest neighbours (Å) after each atom.
Fractional positions:
1 Tl 0.1322 0.2645 0.1199  4 Tl 3.40-3.43, 3 Pb 3.41-3.47, 2 Hg 3.45
2 Tl 0.9629 0.4233 0.8069  1 Hg 3.25, 5 Tl 3.30-3.43, 3 Pb 3.47-3.54
3 Tl 0.4604 0.4233 0.8069  1 Hg 3.25, 5 Tl 3.30-3.43, 3 Pb 3.47-3.54
4 Tl 0.2047 0.8922 0.3036  6 Tl 3.28-3.66, 4 Pb 3.31-3.61, 1 Hg 3.37
5 Tl 0.6875 0.8922 0.3036  6 Tl 3.28-3.66, 4 Pb 3.31-3.61, 1 Hg 3.37
6 Tl 0.3925 0.7850 0.5959  7 Tl 3.29-3.66, 2 Pb 3.50-3.56
7 Tl 0.6075 0.2150 0.4041  7 Tl 3.29-3.66, 2 Pb 3.50-3.56
8 Tl 0.7953 0.1078 0.6964  6 Tl 3.28-3.66, 4 Pb 3.31-3.61, 1 Hg 3.37
9 Tl 0.3125 0.1078 0.6964  6 Tl 3.28-3.66, 4 Pb 3.31-3.61, 1 Hg 3.37
10 Tl 0.0371 0.5767 0.1931  1 Hg 3.25, 5 Tl 3.30-3.43, 3 Pb 3.47-3.54
11 Tl 0.5396 0.5767 0.1931  1 Hg 3.25, 5 Tl 3.30-3.43, 3 Pb 3.47-3.54
12 Tl 0.8678 0.7355 0.8801  4 Tl 3.40-3.43, 3 Pb 3.41-3.47, 2 Hg 3.45
13 Hg 0.7507 0.0000 0.0000  6 Tl 3.25-3.45, 2 Pb 3.36, 2 Hg 3.38-3.40
14 Hg 0.2493 0.0000 0.0000  6 Tl 3.25-3.45, 2 Pb 3.36, 2 Hg 3.38-3.40
15 Pb 0.2313 0.4625 0.4679  7 Tl 3.47-3.61, 3 Pb 3.58
16 Pb 0.3571 0.7143 0.9103  2 Hg 3.36, 10 Tl 3.41-3.57
17 Pb 0.0000 0.0000 0.5000  4 Tl 3.31, 2 Pb 3.58
18 Pb 0.6429 0.2857 0.0897  2 Hg 3.36, 10 Tl 3.41-3.57
19 Pb 0.7687 0.5375 0.5321  7 Tl 3.47-3.61, 3 Pb 3.58

Results
The crystal system is monoclinic. The symmetry is C2/m, No. 12. The calculation puts the relative energy among the computed polymorphs at 17 meV/atom.

---

Computed formation energy, in the same sequence as the records: 0.00, 0.09, 0.02, 0.00, 0.03, 0.04 eV per atom.
Computed total energy, in the same sequence as the records: -2.0463, -2.3243, -2.4807, -2.6972, -1.5365, -2.4633 eV/atom.
Computed N(E_F), in the same sequence as the records: 0.4522, 0.5213, 0.4131, 0.3361, 0.5331, 0.5057 states/eV per atom.